# SmErGa2Pd2 | the Alexandria database | PBE | relaxed
data_SmErGa2Pd2
_chemical_formula_sum 'Sm1 Er1 Ga2 Pd2'
_cell_length_a 4.5082
_cell_length_b 4.5082
_cell_length_c 6.9432
_cell_angle_alpha 90.00
_cell_angle_beta 90.00
_cell_angle_gamma 120.00
_space_group_name_H-M_alt 'P -3 m 1'
_space_group_IT_number 164
_space_group_name_Hall '-P 3 2"'
loop_
_atom_site_label
_atom_site_fract_x
_atom_site_fract_y
_atom_site_fract_z
Sm1 0.0000 0.0000 0.0000
Er1 0.0000 0.0000 0.5000
Ga1 0.3333 0.6667 0.2664
Pd1 0.3333 0.6667 0.7294
# ρ ... 9.1 Mg/m³
# E_form ... -0.85 eV per atom



# Pr5Mg4Tl | the Alexandria database | PBE | relaxed
data_Pr5Mg4Tl
_chemical_formula_sum 'Pr5 Mg4 Tl1'
_cell_length_a 3.9161
_cell_length_b 3.9161
_cell_length_c 19.6290
_cell_angle_alpha 90.00
_cell_angle_beta 90.00
_cell_angle_gamma 90.00
_space_group_name_H-M_alt 'P 4/m m m'
_space_group_IT_number 123
_space_group_name_Hall '-P 4 2'
loop_
_atom_site_label
_atom_site_fract_x
_atom_site_fract_y
_atom_site_fract_z
Pr1 0.0000 0.0000 0.0000
Pr2 0.0000 0.0000 0.1997
Pr3 0.0000 0.0000 0.3980
Mg1 0.5000 0.5000 0.0994
Mg2 0.5000 0.5000 0.2968
Tl1 0.5000 0.5000 0.5000
# ρ ... 5.6 Mg/m³
# E_form ... -0.17 eV per atom



# LiAl2Sn2 | the Alexandria database | PBE | relaxed
data_LiAl2Sn2
_chemical_formula_sum 'Li2 Al4 Sn4'
_cell_length_a 7.6340
_cell_length_b 7.6340
_cell_length_c 3.8203
_cell_angle_alpha 90.00
_cell_angle_beta 90.00
_cell_angle_gamma 90.00
_space_group_name_H-M_alt 'P 4/m b m'
_space_group_IT_number 127
_space_group_name_Hall '-P 4 2ab'
loop_
_atom_site_label
_atom_site_fract_x
_atom_site_fract_y
_atom_site_fract_z
Li1 0.0000 0.0000 0.0000
Al1 0.1249 0.3751 0.0000
Sn1 0.1754 0.6754 0.5000
# ρ ... 4.5 Mg/m³
# Relative energy among the computed polymorphs ... 0 meV/atom
# E_form ... 0.04 eV per atom



# TlFe2PdI8 | the Alexandria database | PBE | relaxed
data_TlFe2PdI8
_chemical_formula_sum 'Tl2 Fe4 Pd2 I16'
_cell_length_a 11.6339
_cell_length_b 8.1928
_cell_length_c 10.1028
_cell_angle_alpha 90.00
_cell_angle_beta 95.01
_cell_angle_gamma 90.00
_space_group_name_H-M_alt 'C 1 2/m 1'
_space_group_IT_number 12
loop_
_space_group_symop_operation_xyz
'x,y,z'
'-x,-y,-z'
'-x,y,-z'
'x,-y,z'
'x+1/2,y+1/2,z'
'-x+1/2,-y+1/2,-z'
'-x+1/2,y+1/2,-z'
'x+1/2,-y+1/2,z'
loop_
_atom_site_label
_atom_site_fract_x
_atom_site_fract_y
_atom_site_fract_z
Tl1 0.0000 0.0000 0.0000
Fe1 0.1245 0.5000 0.2790
Pd1 0.0000 0.0000 0.5000
I1 0.0082 0.2490 0.7069
I2 0.2036 0.5000 0.0527
I3 0.2363 0.0000 0.5092
# ρ ... 5.0 Mg/m³
# Raw formation energy ... -0.22 eV/atom



# ZrScFe | the Alexandria database | PBE | relaxed
data_ZrScFe
_chemical_formula_sum 'Zr1 Sc1 Fe1'
_cell_length_a 4.3832
_cell_length_b 4.3832
_cell_length_c 3.2369
_cell_angle_alpha 90.00
_cell_angle_beta 90.00
_cell_angle_gamma 120.00
_space_group_name_H-M_alt 'P 3 m 1'
_space_group_IT_number 156
loop_
_space_group_symop_operation_xyz
'x,y,z'
'-y,x-y,z'
'-x+y,-x,z'
'-y,-x,z'
'-x+y,y,z'
'x,x-y,z'
loop_
_atom_site_label
_atom_site_fract_x
_atom_site_fract_y
_atom_site_fract_z
Zr1 0.0000 0.0000 0.0000
Sc1 0.3333 0.6667 0.5550
Fe1 0.6667 0.3333 0.2759
# ρ ... 5.9 Mg/m³
# Relative energy among the computed polymorphs ... 143 meV/atom
# E_form ... 0.06 eV per atom



# ZrGa3Pd | the Alexandria database | PBE | relaxed
data_ZrGa3Pd
_chemical_formula_sum 'Zr4 Ga12 Pd4'
_cell_length_a 8.4654
_cell_length_b 5.4767
_cell_length_c 7.3146
_cell_angle_alpha 90.00
_cell_angle_beta 96.09
_cell_angle_gamma 90.00
_space_group_name_H-M_alt 'P 1 21/c 1'
_space_group_IT_number 14
loop_
_space_group_symop_operation_xyz
'x,y,z'
'-x,-y,-z'
'-x,y+1/2,-z+1/2'
'x,-y+1/2,z+1/2'
loop_
_atom_site_label
_atom_site_fract_x
_atom_site_fract_y
_atom_site_fract_z
Zr1 0.1137 0.1239 0.1915
Ga1 0.1179 0.6271 0.0536
Ga2 0.2682 0.5926 0.3659
Ga3 0.3721 0.1531 0.4998
Pd1 0.4462 0.5650 0.6991
# ρ ... 8.0 Mg/m³
# Relative energy among the computed polymorphs ... 0 meV/atom
# E_form ... -0.54 eV per atom



# PuZrTi2 | the Alexandria database | PBE | relaxed
data_PuZrTi2
_chemical_formula_sum 'Pu4 Zr4 Ti8'
_cell_length_a 6.8511
_cell_length_b 6.8511
_cell_length_c 6.8511
_cell_angle_alpha 90.00
_cell_angle_beta 90.00
_cell_angle_gamma 90.00
_space_group_name_H-M_alt 'F m -3 m'
_space_group_IT_number 225
_space_group_name_Hall '-F 4 2 3'
loop_
_atom_site_label
_atom_site_fract_x
_atom_site_fract_y
_atom_site_fract_z
Pu1 0.0000 0.0000 0.0000
Zr1 0.0000 0.0000 0.5000
Ti1 0.2500 0.2500 0.2500
# ρ ... 8.9 Mg/m³
# Relative energy among the computed polymorphs ... 33 meV/atom
# E_form ... 0.14 eV per atom



# Pr2SmYTe5 | the Alexandria database | PBE | relaxed
data_Pr2SmYTe5
_chemical_formula_sum 'Pr2 Sm1 Y1 Te5'
_cell_length_a 5.6473
_cell_length_b 5.6473
_cell_length_c 11.6379
_cell_angle_alpha 90.00
_cell_angle_beta 90.00
_cell_angle_gamma 90.00
_space_group_name_H-M_alt 'P 4/m m m'
_space_group_IT_number 123
_space_group_name_Hall '-P 4 2'
loop_
_atom_site_label
_atom_site_fract_x
_atom_site_fract_y
_atom_site_fract_z
Pr1 0.0000 0.0000 0.1616
Sm1 0.5000 0.5000 0.0000
Y1 0.5000 0.5000 0.5000
Te1 0.0000 0.0000 0.5000
Te2 0.0000 0.5000 0.0000
Te3 0.5000 0.5000 0.2569
# ρ ... 5.2 Mg/m³
# Raw formation energy ... -0.79 eV/atom



# PrNd4Al5 | the Alexandria database | PBE | relaxed
data_PrNd4Al5
_chemical_formula_sum 'Pr1 Nd4 Al5'
_cell_length_a 3.7382
_cell_length_b 3.7382
_cell_length_c 18.6263
_cell_angle_alpha 90.00
_cell_angle_beta 90.00
_cell_angle_gamma 90.00
_space_group_name_H-M_alt 'P 4/m m m'
_space_group_IT_number 123
_space_group_name_Hall '-P 4 2'
loop_
_atom_site_label
_atom_site_fract_x
_atom_site_fract_y
_atom_site_fract_z
Pr1 0.0000 0.0000 0.0000
Nd1 0.0000 0.0000 0.2010
Nd2 0.0000 0.0000 0.4003
Al1 0.5000 0.5000 0.1018
Al2 0.5000 0.5000 0.3007
Al3 0.5000 0.5000 0.5000
# ρ ... 5.4 Mg/m³
# E_form ... -0.35 eV per atom



# NiSCl | the Alexandria database | PBE | relaxed
data_NiSCl
_chemical_formula_sum 'Ni1 S1 Cl1'
_cell_length_a 3.3205
_cell_length_b 3.3205
_cell_length_c 6.2995
_cell_angle_alpha 90.00
_cell_angle_beta 90.00
_cell_angle_gamma 120.00
_space_group_name_H-M_alt 'P 3 m 1'
_space_group_IT_number 156
loop_
_space_group_symop_operation_xyz
'x,y,z'
'-y,x-y,z'
'-x+y,-x,z'
'-y,-x,z'
'-x+y,y,z'
'x,x-y,z'
loop_
_atom_site_label
_atom_site_fract_x
_atom_site_fract_y
_atom_site_fract_z
Ni1 0.0000 0.0000 0.0000
S1 0.6667 0.3333 0.1883
Cl1 0.3333 0.6667 0.7688
# ρ ... 3.5 Mg/m³
# Raw formation energy ... -0.31 eV/atom



# LaCuTc2 | the Alexandria database | PBE | relaxed
data_LaCuTc2
_chemical_formula_sum 'La2 Cu2 Tc4'
_cell_length_a 2.8955
_cell_length_b 4.6749
_cell_length_c 10.5140
_cell_angle_alpha 90.00
_cell_angle_beta 90.00
_cell_angle_gamma 90.00
_space_group_name_H-M_alt 'I m m m'
_space_group_IT_number 71
_space_group_name_Hall '-I 2 2'
loop_
_atom_site_label
_atom_site_fract_x
_atom_site_fract_y
_atom_site_fract_z
La1 0.0000 0.0000 0.0000
Cu1 0.0000 0.0000 0.5000
Tc1 0.0000 0.5000 0.2155
# ρ ... 9.3 Mg/m³
# Relative energy among the computed polymorphs ... 438 meV/atom
# E_form ... 0.49 eV per atom



# K3NpV2Se6 | the Alexandria database | PBE | relaxed
data_K3NpV2Se6
_chemical_formula_sum 'K6 Np2 V4 Se12'
_cell_length_a 6.8549
_cell_length_b 11.8756
_cell_length_c 7.9602
_cell_angle_alpha 90.00
_cell_angle_beta 106.76
_cell_angle_gamma 90.00
_space_group_name_H-M_alt 'C 1 2/m 1'
_space_group_IT_number 12
loop_
_space_group_symop_operation_xyz
'x,y,z'
'-x,-y,-z'
'-x,y,-z'
'x,-y,z'
'x+1/2,y+1/2,z'
'-x+1/2,-y+1/2,-z'
'-x+1/2,y+1/2,-z'
'x+1/2,-y+1/2,z'
loop_
_atom_site_label
_atom_site_fract_x
_atom_site_fract_y
_atom_site_fract_z
K1 0.0000 0.0000 0.0000
K2 0.0000 0.3378 0.0000
Np1 0.0000 0.5000 0.5000
V1 0.0000 0.1672 0.5000
Se1 0.2074 0.0000 0.6897
Se2 0.2419 0.3221 0.6914
# ρ ... 5.0 Mg/m³
# Raw formation energy ... -1.03 eV/atom



# SrDyCu2 | the Alexandria database | PBE | relaxed
data_SrDyCu2
_chemical_formula_sum 'Sr1 Dy1 Cu2'
_cell_length_a 3.6220
_cell_length_b 3.6220
_cell_length_c 7.2690
_cell_angle_alpha 90.00
_cell_angle_beta 90.00
_cell_angle_gamma 90.00
_space_group_name_H-M_alt 'P 4/m m m'
_space_group_IT_number 123
_space_group_name_Hall '-P 4 2'
loop_
_atom_site_label
_atom_site_fract_x
_atom_site_fract_y
_atom_site_fract_z
Sr1 0.0000 0.0000 0.0000
Dy1 0.0000 0.0000 0.5000
Cu1 0.5000 0.5000 0.3049
# ρ ... 6.6 Mg/m³
# Relative energy among the computed polymorphs ... 0 meV/atom
# E_form ... -0.12 eV per atom



# BaDy2Rh9 | the Alexandria database | PBE | relaxed
data_BaDy2Rh9
_chemical_formula_sum 'Ba3 Dy6 Rh27'
_cell_length_a 5.3545
_cell_length_b 5.3545
_cell_length_c 26.2793
_cell_angle_alpha 90.00
_cell_angle_beta 90.00
_cell_angle_gamma 120.00
_space_group_name_H-M_alt 'R -3 m'
_space_group_IT_number 166
_space_group_name_Hall '-R 3 2"'
loop_
_atom_site_label
_atom_site_fract_x
_atom_site_fract_y
_atom_site_fract_z
Ba1 0.0000 0.0000 0.0000
Dy1 0.0000 0.0000 0.1394
Rh1 0.0000 0.0000 0.3333
Rh2 0.0000 0.0000 0.5000
Rh3 0.0016 0.5008 0.9153
# ρ ... 10.6 Mg/m³
# E_form ... -0.39 eV per atom



# KTa2Rh | the Alexandria database | PBE | relaxed
data_KTa2Rh
_chemical_formula_sum 'K2 Ta4 Rh2'
_cell_length_a 2.9548
_cell_length_b 5.4874
_cell_length_c 10.1964
_cell_angle_alpha 90.00
_cell_angle_beta 90.00
_cell_angle_gamma 90.00
_space_group_name_H-M_alt 'I m m 2'
_space_group_IT_number 44
loop_
_space_group_symop_operation_xyz
'x,y,z'
'-x,-y,z'
'-x,y,z'
'x,-y,z'
'x+1/2,y+1/2,z+1/2'
'-x+1/2,-y+1/2,z+1/2'
'-x+1/2,y+1/2,z+1/2'
'x+1/2,-y+1/2,z+1/2'
loop_
_atom_site_label
_atom_site_fract_x
_atom_site_fract_y
_atom_site_fract_z
K1 0.0000 0.0000 0.0000
Ta1 0.0000 0.0000 0.4712
Ta2 0.0000 0.5000 0.2027
Rh1 0.0000 0.5000 0.7642
# ρ ... 10.1 Mg/m³
# Relative energy among the computed polymorphs ... 603 meV/atom
# E_form ... 0.90 eV per atom



# Cs2LiHgSb2 | the Alexandria database | PBE | relaxed
data_Cs2LiHgSb2
_chemical_formula_sum 'Cs8 Li4 Hg4 Sb8'
_cell_length_a 7.1324
_cell_length_b 17.4368
_cell_length_c 7.3085
_cell_angle_alpha 90.00
_cell_angle_beta 90.00
_cell_angle_gamma 90.00
_space_group_name_H-M_alt 'I b a m'
_space_group_IT_number 72
_space_group_name_Hall '-I 2 2c'
loop_
_atom_site_label
_atom_site_fract_x
_atom_site_fract_y
_atom_site_fract_z
Cs1 0.2494 0.1676 0.0000
Li1 0.0000 0.0000 0.2500
Hg1 0.0000 0.5000 0.2500
Sb1 0.2479 0.4133 0.0000
# ρ ... 5.2 Mg/m³
# Raw formation energy ... -0.37 eV/atom



# NdZn2GaCo | the Alexandria database | PBE | relaxed
data_NdZn2GaCo
_chemical_formula_sum 'Nd2 Zn4 Ga2 Co2'
_cell_length_a 4.1809
_cell_length_b 4.2196
_cell_length_c 10.3109
_cell_angle_alpha 90.00
_cell_angle_beta 90.00
_cell_angle_gamma 90.00
_space_group_name_H-M_alt 'I m m 2'
_space_group_IT_number 44
loop_
_space_group_symop_operation_xyz
'x,y,z'
'-x,-y,z'
'-x,y,z'
'x,-y,z'
'x+1/2,y+1/2,z+1/2'
'-x+1/2,-y+1/2,z+1/2'
'-x+1/2,y+1/2,z+1/2'
'x+1/2,-y+1/2,z+1/2'
loop_
_atom_site_label
_atom_site_fract_x
_atom_site_fract_y
_atom_site_fract_z
Nd1 0.0000 0.0000 0.0000
Zn1 0.0000 0.0000 0.6238
Zn2 0.0000 0.5000 0.2505
Ga1 0.0000 0.0000 0.3786
Co1 0.0000 0.5000 0.7544
# ρ ... 7.4 Mg/m³
# E_form ... -0.25 eV per atom



# NaLiInPd | the Alexandria database | PBE | relaxed
data_NaLiInPd
_chemical_formula_sum 'Na4 Li4 In4 Pd4'
_cell_length_a 6.6767
_cell_length_b 6.6767
_cell_length_c 6.6767
_cell_angle_alpha 90.00
_cell_angle_beta 90.00
_cell_angle_gamma 90.00
_space_group_name_H-M_alt 'F -4 3 m'
_space_group_IT_number 216
_space_group_name_Hall 'F -4 2 3'
loop_
_atom_site_label
_atom_site_fract_x
_atom_site_fract_y
_atom_site_fract_z
Na1 0.0000 0.0000 0.0000
Li1 0.2500 0.2500 0.7500
In1 0.0000 0.0000 0.5000
Pd1 0.2500 0.2500 0.2500
# ρ ... 5.6 Mg/m³
# E_form ... -0.31 eV per atom



# LuZrZnIr | the Alexandria database | PBE | relaxed
data_LuZrZnIr
_chemical_formula_sum 'Lu4 Zr4 Zn4 Ir4'
_cell_length_a 6.7380
_cell_length_b 6.7380
_cell_length_c 6.7380
_cell_angle_alpha 90.00
_cell_angle_beta 90.00
_cell_angle_gamma 90.00
_space_group_name_H-M_alt 'F -4 3 m'
_space_group_IT_number 216
_space_group_name_Hall 'F -4 2 3'
loop_
_atom_site_label
_atom_site_fract_x
_atom_site_fract_y
_atom_site_fract_z
Lu1 0.0000 0.0000 0.0000
Zr1 0.0000 0.0000 0.5000
Zn1 0.2500 0.2500 0.7500
Ir1 0.2500 0.2500 0.2500
# ρ ... 11.4 Mg/m³
# E_form ... -0.59 eV per atom



# MnCdRhI2 | the Alexandria database | PBE | relaxed
data_MnCdRhI2
_chemical_formula_sum 'Mn1 Cd1 Rh1 I2'
_cell_length_a 5.8766
_cell_length_b 5.8766
_cell_length_c 5.2072
_cell_angle_alpha 90.00
_cell_angle_beta 90.00
_cell_angle_gamma 90.00
_space_group_name_H-M_alt 'P 4/m m m'
_space_group_IT_number 123
_space_group_name_Hall '-P 4 2'
loop_
_atom_site_label
_atom_site_fract_x
_atom_site_fract_y
_atom_site_fract_z
Mn1 0.0000 0.0000 0.0000
Cd1 0.0000 0.0000 0.5000
Rh1 0.5000 0.5000 0.0000
I1 0.0000 0.5000 0.5000
# ρ ... 4.8 Mg/m³
# Raw formation energy ... 1.19 eV/atom



no.,size of the total moment (μB/f.u.),density of states at the Fermi level (states/eV/f.u.)
1,0.00,4.1
2,0.00,12.6
3,0.00,2.2
4,8.25,6.3
5,0.00,3.1
6,0.00,1.8
7,6.25,8.7
8,0.69,4.6
9,0.00,3.4
10,1.02,2.6
11,0.00,4.8
12,8.00,16.5
13,0.00,3.9
14,0.00,15.7
15,0.44,4.7
16,0.00,4.6
17,1.26,5.0
18,0.00,1.3
19,0.00,3.6
20,6.26,9.5